[1]
## CdIn2Au2 (PBE-GGA)

Data for a relaxed CdIn2Au2 crystal.

Cell and atoms, written as POSCAR:
```
CdIn2Au2
1.0
4.3503 0.0000 0.0000
0.0000 4.3503 0.0000
2.1752 2.1752 6.3760
In Au Cd
2 2 1
direct
0.7500 0.2500 0.5000 In
0.2500 0.7500 0.5000 In
0.3950 0.3950 0.2101 Au
0.6050 0.6050 0.7899 Au
0.0000 0.0000 0.0000 Cd
```

Output
Space group: I4/mmm, No. 139
Energy relative to the elements (meV per atom): -26
Calculated total energy (eV/atom): -2.615



[2]
## KCd2InAu (PBE-GGA)

Data for a relaxed KCd2InAu crystal.

Cell and atoms, written as POSCAR:
```
KCd2InAu
1.0
-1.3862 4.0399 1.9875
-3.9328 -2.2225 1.7747
5.7934 -2.3575 3.2496
Cd Au In K
2 1 1 1
direct
0.7009 0.2009 0.4018 Cd
0.0499 0.0499 0.0999 Cd
0.8256 0.8256 0.6511 Au
0.1977 0.6977 0.3953 In
0.4381 0.4381 0.8762 K
```

Output
ΔE to the lowest computed polymorph (eV per atom): 0.000
Space group: Imm2, No. 44
Energy relative to the elements (meV per atom): -190
Calculated total energy (eV/atom): -1.978



[3]
## K2CdInAu2 (PBE-GGA)

Data for a relaxed K2CdInAu2 crystal.

Cell and atoms, written as POSCAR:
```
K2CdInAu2
1.0
-1.6004 3.6504 5.5555
-6.2129 -2.7304 0.0043
6.5122 -6.3815 1.8616
Cd Au K In
2 4 4 2
direct
0.2500 0.5000 0.0000 Cd
0.7500 0.5000 0.0000 Cd
0.9007 0.1432 0.8014 Au
0.4007 0.6583 0.8014 Au
0.0993 0.8568 0.1986 Au
0.5993 0.3417 0.1986 Au
0.8220 0.5635 0.6440 K
0.6780 0.9194 0.3560 K
0.3220 0.0806 0.6440 K
0.1780 0.4365 0.3560 K
0.7500 0.0000 0.0000 In
0.2500 0.0000 0.0000 In
```

Output
Space group: Ibam, No. 72
Energy relative to the elements (meV per atom): -273
Calculated total energy (eV/atom): -2.340



[4]
## KCd2In4Au (PBE-GGA)

Data for a relaxed KCd2In4Au crystal.

Cell and atoms, written as POSCAR:
```
KCd2In4Au
1.0
-0.4187 -1.5985 4.7074
-4.0061 -2.6253 1.3959
3.4730 -10.3362 -0.5574
In Au Cd K
4 1 2 1
direct
0.1341 0.1341 0.5976 In
0.5927 0.5927 0.2218 In
0.4073 0.4073 0.7782 In
0.8659 0.8659 0.4024 In
0.5000 0.5000 0.5000 Au
0.2474 0.2474 0.2579 Cd
0.7526 0.7526 0.7421 Cd
0.0000 0.0000 0.0000 K
```

Output
Space group: R-3m, No. 166
Energy relative to the elements (meV per atom): -84
Calculated total energy (eV/atom): -2.229



[5]
## KCdInAu3 (PBE-GGA)

Data for a relaxed KCdInAu3 crystal.

Cell and atoms, written as POSCAR:
```
KCdInAu3
1.0
-0.9808 -2.7345 -6.7793
1.3549 -6.4190 2.3931
-7.1282 2.3283 0.0922
Au In Cd K
6 2 2 2
direct
0.5000 0.2918 0.0000 Au
0.0000 0.2918 0.0000 Au
0.2500 0.1842 0.3684 Au
0.7500 0.8158 0.6316 Au
0.0000 0.7082 0.0000 Au
0.5000 0.7082 0.0000 Au
0.2500 0.3859 0.7718 In
0.7500 0.6141 0.2282 In
0.7500 0.0255 0.0509 Cd
0.2500 0.9745 0.9491 Cd
0.2500 0.7054 0.4107 K
0.7500 0.2946 0.5893 K
```

Output
Space group: Cmcm, No. 63
Energy relative to the elements (meV per atom): -146
Calculated total energy (eV/atom): -2.576



[6]
## K2Cd4InAu3 (PBE-GGA)

Data for a relaxed K2Cd4InAu3 crystal.

Cell and atoms, written as POSCAR:
```
K2Cd4InAu3
1.0
-2.0706 -0.5609 4.1225
-0.0417 -4.6018 -0.6471
11.2017 -0.8758 5.5069
Au Cd In K
3 4 1 2
direct
0.0000 0.0000 0.5000 Au
0.5000 0.0000 0.8642 Au
0.0000 0.5000 0.1358 Au
0.5000 0.0000 0.6436 Cd
0.5000 0.5000 0.0000 Cd
0.0000 0.5000 0.3564 Cd
0.0000 0.0000 0.0000 Cd
0.5000 0.5000 0.5000 In
0.5000 0.0000 0.2412 K
0.0000 0.5000 0.7588 K
```

Output
Space group: P-4m2, No. 115
Energy relative to the elements (meV per atom): -201
Calculated total energy (eV/atom): -2.043



[7]
## K2Cd6InAu (PBE-GGA)

Data for a relaxed K2Cd6InAu crystal.

Cell and atoms, written as POSCAR:
```
K2Cd6InAu
1.0
-2.7330 1.7844 6.7495
-6.5571 -3.2435 -1.7654
-2.8867 -5.3922 4.4397
Cd Au In K
6 1 1 2
direct
0.3980 0.3461 0.4786 Cd
0.6047 0.1244 0.2225 Cd
0.6034 0.8253 0.0515 Cd
0.3966 0.1747 0.9485 Cd
0.6020 0.6539 0.5214 Cd
0.3953 0.8756 0.7775 Cd
0.5000 0.5000 0.0000 Au
0.0000 0.0000 0.0000 In
0.9528 0.3172 0.3652 K
0.0472 0.6828 0.6348 K
```

Output
Space group: P-1, No. 2
Energy relative to the elements (meV per atom): -115
Calculated total energy (eV/atom): -1.485



[8]
## K2Cd4In3Au (PBE-GGA)

Data for a relaxed K2Cd4In3Au crystal.

Cell and atoms, written as POSCAR:
```
K2Cd4In3Au
1.0
-1.8609 -4.0363 1.9938
4.4387 -2.0051 0.0835
1.8960 4.6640 11.2113
In Cd K Au
3 4 2 1
direct
0.0000 0.0000 0.5000 In
0.0000 0.5000 0.1364 In
0.5000 0.0000 0.8636 In
0.5000 0.0000 0.6288 Cd
0.0000 0.5000 0.3712 Cd
0.5000 0.5000 0.0000 Cd
0.0000 0.0000 0.0000 Cd
0.0000 0.5000 0.7427 K
0.5000 0.0000 0.2573 K
0.5000 0.5000 0.5000 Au
```

Output
Space group: P-4m2, No. 115
Energy relative to the elements (meV per atom): -105
Calculated total energy (eV/atom): -1.840



[9]
## KCdIn2Au4 (PBE-GGA)

Data for a relaxed KCdIn2Au4 crystal.

Cell and atoms, written as POSCAR:
```
KCdIn2Au4
1.0
-0.1995 4.6359 0.8146
-2.7398 1.6697 3.4498
6.8336 1.2776 8.0257
K Au Cd In
1 4 1 2
direct
0.0000 0.0000 0.0000 K
0.4061 0.4061 0.7816 Au
0.1322 0.1322 0.6033 Au
0.8678 0.8678 0.3967 Au
0.5939 0.5939 0.2184 Au
0.5000 0.5000 0.5000 Cd
0.2422 0.2422 0.2734 In
0.7578 0.7578 0.7266 In
```

Output
Space group: R-3m, No. 166
Energy relative to the elements (meV per atom): -188
Calculated total energy (eV/atom): -2.763



[10]
## KCd2In2Au2 (PBE-GGA)

Data for a relaxed KCd2In2Au2 crystal.

Cell and atoms, written as POSCAR:
```
KCd2In2Au2
1.0
4.7564 0.0000 0.0000
2.3782 4.1191 0.0000
2.3782 1.3730 9.6638
In Cd Au K
2 2 2 1
direct
0.7497 0.7497 0.7509 In
0.2503 0.2503 0.2491 In
0.1390 0.1390 0.5831 Cd
0.8610 0.8610 0.4169 Cd
0.5733 0.5733 0.2801 Au
0.4267 0.4267 0.7199 Au
0.0000 0.0000 0.0000 K
```

Output
Space group: R-3m, No. 166
Energy relative to the elements (meV per atom): -169
Calculated total energy (eV/atom): -2.306



[11]
## KCdIn2Au2 (PBE-GGA)

Data for a relaxed KCdIn2Au2 crystal.

Cell and atoms, written as POSCAR:
```
KCdIn2Au2
1.0
4.7567 0.0000 0.0000
-2.3783 4.1194 0.0000
0.0000 0.0000 8.3602
In Au K Cd
2 2 1 1
direct
0.6667 0.3333 0.7115 In
0.3333 0.6667 0.2885 In
0.3333 0.6667 0.6546 Au
0.6667 0.3333 0.3454 Au
0.0000 0.0000 0.0000 K
0.0000 0.0000 0.5000 Cd
```

Output
Space group: P-3m1, No. 164
Energy relative to the elements (meV per atom): -250
Calculated total energy (eV/atom): -2.591



[12]
## KCd2InAu (PBE-GGA)

Data for a relaxed KCd2InAu crystal.

Cell and atoms, written as POSCAR:
```
KCd2InAu
1.0
5.3824 0.0000 0.0000
0.0000 5.3824 0.0000
0.0000 0.0000 5.5064
In Au Cd K
1 1 2 1
direct
0.0000 0.0000 0.5000 In
0.0000 0.0000 0.0000 Au
0.5000 0.0000 0.0000 Cd
0.0000 0.5000 0.0000 Cd
0.5000 0.5000 0.5000 K
```

Output
ΔE to the lowest computed polymorph (eV per atom): 0.107
Space group: P4/mmm, No. 123
Energy relative to the elements (meV per atom): -83
Calculated total energy (eV/atom): -1.872



[13]
## KCd2InAu4 (PBE-GGA)

Data for a relaxed KCd2InAu4 crystal.

Cell and atoms, written as POSCAR:
```
KCd2InAu4
1.0
4.7195 0.0000 0.0000
2.3597 4.0872 0.0000
2.3597 1.3624 10.1703
Au In K Cd
4 1 1 2
direct
0.1326 0.1326 0.6022 Au
0.4064 0.4064 0.7808 Au
0.8674 0.8674 0.3978 Au
0.5936 0.5936 0.2192 Au
0.5000 0.5000 0.5000 In
0.0000 0.0000 0.0000 K
0.7569 0.7569 0.7294 Cd
0.2431 0.2431 0.2706 Cd
```

Output
Space group: R-3m, No. 166
Energy relative to the elements (meV per atom): -157
Calculated total energy (eV/atom): -2.504



[14]
## La4CdIn2Au (PBE-GGA)

Data for a relaxed La4CdIn2Au crystal.

Cell and atoms, written as POSCAR:
```
La4CdIn2Au
1.0
-1.8468 -4.4207 2.7866
0.8681 -5.0964 -1.9979
7.4885 -3.6035 4.7583
Cd Au La In
1 1 4 2
direct
0.0000 0.0000 0.0000 Cd
0.5000 0.5000 0.5000 Au
0.8686 0.8686 0.3941 La
0.1314 0.1314 0.6059 La
0.3812 0.3812 0.8564 La
0.6188 0.6188 0.1436 La
0.7438 0.7438 0.7686 In
0.2562 0.2562 0.2314 In
```

Output
Space group: R-3m, No. 166
Energy relative to the elements (meV per atom): -520
Calculated total energy (eV/atom): -4.192



[15]
## Li2Cd2InAu5 (PBE-GGA)

Data for a relaxed Li2Cd2InAu5 crystal.

Cell and atoms, written as POSCAR:
```
Li2Cd2InAu5
1.0
3.8060 0.0000 0.0000
0.0000 9.9302 0.0000
0.0000 0.0000 9.9302
Au Cd Li In
10 4 4 2
direct
0.5000 0.8158 0.8867 Au
0.5000 0.8867 0.1842 Au
0.5000 0.3867 0.3158 Au
0.5000 0.3158 0.6133 Au
0.5000 0.6133 0.6842 Au
0.5000 0.5000 0.0000 Au
0.5000 0.1842 0.1133 Au
0.5000 0.6842 0.3867 Au
0.5000 0.0000 0.5000 Au
0.5000 0.1133 0.8158 Au
0.0000 0.3412 0.8412 Cd
0.0000 0.8412 0.6588 Cd
0.0000 0.1588 0.3412 Cd
0.0000 0.6588 0.1588 Cd
0.0000 0.8707 0.3707 Li
0.0000 0.6293 0.8707 Li
0.0000 0.1293 0.6293 Li
0.0000 0.3707 0.1293 Li
0.0000 0.5000 0.5000 In
0.0000 0.0000 0.0000 In
```

Output
Space group: P4/mbm, No. 127
Energy relative to the elements (meV per atom): -262
Calculated total energy (eV/atom): -2.740



[16]
## Li2Cd5In2Au2 (PBE-GGA)

Data for a relaxed Li2Cd5In2Au2 crystal.

Cell and atoms, written as POSCAR:
```
Li2Cd5In2Au2
1.0
4.1340 0.0000 0.0000
0.0000 4.1340 0.0000
-2.0670 -2.0670 15.1172
In Cd Li Au
2 5 2 2
direct
0.2310 0.2310 0.4619 In
0.7690 0.7690 0.5381 In
0.4264 0.9264 0.8529 Cd
0.9264 0.4264 0.8529 Cd
0.5736 0.0736 0.1471 Cd
0.0736 0.5736 0.1471 Cd
0.0000 0.0000 0.0000 Cd
0.6614 0.6614 0.3229 Li
0.3386 0.3386 0.6771 Li
0.1418 0.1418 0.2837 Au
0.8582 0.8582 0.7163 Au
```

Output
Space group: I4/mmm, No. 139
Energy relative to the elements (meV per atom): -131
Calculated total energy (eV/atom): -1.989



[17]
## Li2CdIn2Au5 (PBE-GGA)

Data for a relaxed Li2CdIn2Au5 crystal.

Cell and atoms, written as POSCAR:
```
Li2CdIn2Au5
1.0
-0.1237 -1.3743 -3.8508
8.5964 -3.9866 1.1464
-4.1381 -8.0579 3.0086
Au In Cd Li
10 4 2 4
direct
0.5000 0.3027 0.5915 Au
0.5000 0.0915 0.8027 Au
0.5000 0.8027 0.9085 Au
0.5000 0.5000 0.0000 Au
0.5000 0.1973 0.0915 Au
0.5000 0.4085 0.3027 Au
0.5000 0.6973 0.4085 Au
0.5000 0.0000 0.5000 Au
0.5000 0.9085 0.1973 Au
0.5000 0.5915 0.6973 Au
0.0000 0.1692 0.3308 In
0.0000 0.3308 0.8308 In
0.0000 0.6692 0.1692 In
0.0000 0.8308 0.6692 In
0.0000 0.0000 0.0000 Cd
0.0000 0.5000 0.5000 Cd
0.0000 0.8767 0.3767 Li
0.0000 0.3767 0.1233 Li
0.0000 0.1233 0.6233 Li
0.0000 0.6233 0.8767 Li
```

Output
Space group: P4/mbm, No. 127
Energy relative to the elements (meV per atom): -275
Calculated total energy (eV/atom): -2.935



[18]
## Li2Cd2InAu2 (PBE-GGA)

Data for a relaxed Li2Cd2InAu2 crystal.

Cell and atoms, written as POSCAR:
```
Li2Cd2InAu2
1.0
-0.2563 -1.1958 4.2508
3.6865 -0.8086 -2.3065
3.0195 7.3493 2.2495
Cd Au Li In
2 2 2 1
direct
0.3333 0.6667 0.4035 Cd
0.6667 0.3333 0.5965 Cd
0.6667 0.3333 0.2082 Au
0.3333 0.6667 0.7918 Au
0.0000 0.0000 0.6757 Li
0.0000 0.0000 0.3243 Li
0.0000 0.0000 0.0000 In
```

Output
Space group: P-3m1, No. 164
Energy relative to the elements (meV per atom): -169
Calculated total energy (eV/atom): -2.305



[19]
## LiCdInAu2 (PBE-GGA)

Data for a relaxed LiCdInAu2 crystal.

Cell and atoms, written as POSCAR:
```
LiCdInAu2
1.0
-2.4471 -1.5308 -3.2036
-7.4085 -1.5227 6.3868
-4.1316 3.7886 1.3457
Au In Cd Li
4 2 2 2
direct
0.2500 0.2478 0.2462 Au
0.7500 0.7520 0.2393 Au
0.2500 0.2480 0.7607 Au
0.7500 0.7522 0.7538 Au
0.2500 0.9458 0.8038 In
0.7500 0.0542 0.1962 In
0.2500 0.5551 0.1946 Cd
0.7500 0.4449 0.8054 Cd
0.7500 0.2963 0.4556 Li
0.2500 0.7037 0.5444 Li
```

Output
Space group: P2_1/m, No. 11
Energy relative to the elements (meV per atom): -306
Calculated total energy (eV/atom): -2.730



[20]
## Li3Cd2In2Au4 (PBE-GGA)

Data for a relaxed Li3Cd2In2Au4 crystal.

Cell and atoms, written as POSCAR:
```
Li3Cd2In2Au4
1.0
-4.2327 0.6380 -1.8376
3.3702 -1.9695 -2.5422
-3.1859 -10.3054 3.7605
Li Cd In Au
3 2 2 4
direct
0.0000 0.0000 0.2685 Li
0.0000 0.0000 0.0000 Li
0.0000 0.0000 0.7315 Li
0.3333 0.6667 0.5774 Cd
0.6667 0.3333 0.4226 Cd
0.6667 0.3333 0.9122 In
0.3333 0.6667 0.0878 In
0.6667 0.3333 0.1673 Au
0.3333 0.6667 0.8327 Au
0.6667 0.3333 0.6686 Au
0.3333 0.6667 0.3314 Au
```

Output
Space group: P-3m1, No. 164
Energy relative to the elements (meV per atom): -368
Calculated total energy (eV/atom): -2.746



[21]
## Li5Cd2InAu2 (PBE-GGA)

Data for a relaxed Li5Cd2InAu2 crystal.

Cell and atoms, written as POSCAR:
```
Li5Cd2InAu2
1.0
3.9805 0.0000 0.0000
0.0000 9.7384 0.0000
0.0000 0.0000 9.7384
Li In Au Cd
10 2 4 4
direct
0.5000 0.5000 0.0000 Li
0.5000 0.9212 0.2029 Li
0.5000 0.0788 0.7971 Li
0.5000 0.5788 0.7029 Li
0.5000 0.7029 0.4212 Li
0.5000 0.4212 0.2971 Li
0.5000 0.2971 0.5788 Li
0.5000 0.7971 0.9212 Li
0.5000 0.2029 0.0788 Li
0.5000 0.0000 0.5000 Li
0.0000 0.5000 0.5000 In
0.0000 0.0000 0.0000 In
0.0000 0.1265 0.6265 Au
0.0000 0.3735 0.1265 Au
0.0000 0.8735 0.3735 Au
0.0000 0.6265 0.8735 Au
0.0000 0.3303 0.8303 Cd
0.0000 0.1697 0.3303 Cd
0.0000 0.6697 0.1697 Cd
0.0000 0.8303 0.6697 Cd
```

Output
Space group: P4/mbm, No. 127
Energy relative to the elements (meV per atom): -316
Calculated total energy (eV/atom): -2.385



[22]
## Mg2Cd2InAu5 (PBE-GGA)

Data for a relaxed Mg2Cd2InAu5 crystal.

Cell and atoms, written as POSCAR:
```
Mg2Cd2InAu5
1.0
-3.0190 1.1665 -0.7534
-4.6347 -7.7231 6.6146
0.5709 7.0601 8.6434
Cd In Au Mg
4 2 10 4
direct
0.0000 0.3537 0.8537 Cd
0.0000 0.8537 0.6463 Cd
0.0000 0.1463 0.3537 Cd
0.0000 0.6463 0.1463 Cd
0.0000 0.0000 0.0000 In
0.0000 0.5000 0.5000 In
0.5000 0.6561 0.3593 Au
0.5000 0.6407 0.6561 Au
0.5000 0.5000 0.0000 Au
0.5000 0.8593 0.1561 Au
0.5000 0.1561 0.1407 Au
0.5000 0.3439 0.6407 Au
0.5000 0.0000 0.5000 Au
0.5000 0.1407 0.8439 Au
0.5000 0.3593 0.3439 Au
0.5000 0.8439 0.8593 Au
0.0000 0.8569 0.3569 Mg
0.0000 0.1431 0.6431 Mg
0.0000 0.3569 0.1431 Mg
0.0000 0.6431 0.8569 Mg
```

Output
Space group: P4/mbm, No. 127
Energy relative to the elements (meV per atom): -254
Calculated total energy (eV/atom): -2.668